Material: ZnSn2Hg
Method: DFT, PBE
State: optimized geometry

It has space group I-42d (No. 122), with a = 8.086 Å, b = 8.086 Å, c = 6.134 Å, α = 90.00°, β = 90.00° and γ = 90.00°. Symmetry generates all atoms from Zn at (0.000, 0.000, 0.000), Sn at (0.219, 0.250, 0.125) and Hg at (0.000, 0.000, 0.500).

As for the formation energy: 0.120 eV/atom. As for the raw total energy: -36.41 eV per cell. The polymorph energy (0 for the lowest one) comes out at 27 meV/atom.

Material: La2Cd6Ag3
Method: DFT, PBE
State: optimized geometry

It has space group P-62m (No. 189), with a = 8.2164 Å, b = 8.2164 Å, c = 4.6897 Å, α = 90.00°, β = 90.00° and γ = 120.00°. Symmetry generates all atoms from La at (0.3333, 0.6667, 0.0000), Cd at (0.0000, 0.2069, 0.0000), Cd at (0.0000, 0.7359, 0.5000) and Ag at (0.0000, 0.4021, 0.5000).

As for the formation energy: -0.187 eV/atom. As for the raw total energy: -25.96 eV per cell.

Material: Pm2CuHPt6
Method: DFT, PBE
State: optimized geometry

It has space group C2/m (No. 12), with a = 9.810 Å, b = 5.665 Å, c = 7.009 Å, α = 90.00°, β = 117.74° and γ = 90.00°. Symmetry generates all atoms from Pm at (0.215, 0.000, 0.144), Cu at (0.000, 0.500, 0.000), H at (0.000, 0.000, 0.500), Pt at (0.022, 0.253, 0.312) and Pt at (0.232, 0.000, 0.688).

As for the raw total energy: -120.05 eV per cell.

Material: LaTc2Ni
Method: DFT, PBE
State: optimized geometry

It has space group Immm (No. 71), with a = 2.865 Å, b = 4.557 Å, c = 10.588 Å, α = 90.00°, β = 90.00° and γ = 90.00°. Symmetry generates all atoms from La at (0.000, 0.000, 0.000), Tc at (0.000, 0.500, 0.213) and Ni at (0.000, 0.000, 0.500).

As for the formation energy: 0.325 eV/atom. As for the raw total energy: -60.29 eV per cell. The polymorph energy (0 for the lowest one) comes out at 268 meV/atom.

Material: Al2Cu2Si
Method: DFT, PBE
State: optimized geometry

It has space group I4/mmm (No. 139), with a = 3.451 Å, b = 3.451 Å, c = 12.838 Å, α = 90.00°, β = 90.00° and γ = 90.00°. Symmetry generates all atoms from Al at (0.000, 0.000, 0.102), Cu at (0.000, 0.500, 0.250) and Si at (0.000, 0.000, 0.500).

The calculation puts the uncorrected formation energy at 0.1479 eV/atom. As for the raw total energy: -40.72 eV per cell. The polymorph energy (0 for the lowest one) comes out at 156 meV/atom.

Material: LiAgW
Method: DFT, PBE
State: optimized geometry

It has space group Cmcm (No. 63), with a = 4.727 Å, b = 13.446 Å, c = 3.192 Å, α = 90.00°, β = 90.00° and γ = 90.00°. Symmetry generates all atoms from Li at (0.000, 0.249, 0.250), Ag at (0.000, 0.405, 0.750) and W at (0.000, 0.068, 0.750).

As for the formation energy: 0.440 eV/atom. As for the raw total energy: -65.59 eV per cell. The polymorph energy (0 for the lowest one) comes out at 42 meV/atom.

| no. | total magnetization (μB per formula unit) |
| --- | --- |
| 1 | 0.0 |
| 2 | 0.0 |
| 3 | 0.0 |
| 4 | 0.0 |
| 5 | 0.0 |
| 6 | 0.0 |